Entry 1:
# SmLuGeRh PBE relaxed
# Total energy, eV per atom: -6.006
# Total moment, μB/f.u.: 0.00
# Energy relative to the elements, eV/atom: -0.70
# Volume, Å³/cell: 86.04
# Fermi-level density of states, states/eV per atom: 0.5637
data_SmLuGeRh
_cell_length_a 4.9553
_cell_length_b 4.9553
_cell_length_c 4.9553
_cell_angle_alpha 60.00
_cell_angle_beta 60.00
_cell_angle_gamma 60.00
_space_group_name_H-M_alt 'P 1'
_space_group_IT_number 1
loop_
_space_group_symop_operation_xyz
'x,y,z'
loop_
_atom_site_label
_atom_site_type_symbol
_atom_site_fract_x
_atom_site_fract_y
_atom_site_fract_z
Ge1 Ge 0.2500 0.2500 0.2500
Lu1 Lu 0.0000 0.0000 0.0000
Rh1 Rh 0.7500 0.7500 0.7500
Sm1 Sm 0.5000 0.5000 0.5000


Entry 2:
# TbLuGeRh PBE relaxed
# Total energy, eV per atom: -6.027
# Total moment, μB/f.u.: 0.00
# Energy relative to the elements, eV/atom: -0.75
# Volume, Å³/cell: 83.67
# Fermi-level density of states, states/eV per atom: 0.5298
data_TbLuGeRh
_cell_length_a 4.9094
_cell_length_b 4.9094
_cell_length_c 4.9094
_cell_angle_alpha 60.00
_cell_angle_beta 60.00
_cell_angle_gamma 60.00
_space_group_name_H-M_alt 'P 1'
_space_group_IT_number 1
loop_
_space_group_symop_operation_xyz
'x,y,z'
loop_
_atom_site_label
_atom_site_type_symbol
_atom_site_fract_x
_atom_site_fract_y
_atom_site_fract_z
Rh1 Rh 0.2500 0.2500 0.2500
Ge1 Ge 0.7500 0.7500 0.7500
Lu1 Lu 0.5000 0.5000 0.5000
Tb1 Tb 0.0000 0.0000 0.0000